Record 1
An optimized crystal structure of TlCoSe2I, computed with PBE-GGA.

## Properties
- Uncorrected formation energy: 15.45 kcal/mol of atoms
- Crystal system: tetragonal
- Calculated density: 5.87 g cm⁻³
- Size of the total moment: 2.1 μB per formula unit
- Total DFT energy (no corrections): -0.1076 hartree per atom

abc: 5.7374 5.7374 4.7113
angles: 90.00 90.00 90.00
Last column: nearest neighbours and their distance in Å.
Space group P4/mmm (No. 123)
Symmetry-distinct sites (fractional):
Tl1 0.0000 0.0000 0.0000 (multiplicity 1)  8 Se 3.71, 4 Co 4.06
Co1 0.5000 0.5000 0.0000 (multiplicity 1)  2 I 2.36
Se1 0.0000 0.5000 0.5000 (multiplicity 2)  2 I 2.87
I1 0.5000 0.5000 0.5000 (multiplicity 1)  2 Co 2.36

---

Record 2
An optimized crystal structure of Li2TcPb, computed with PBE-GGA.

## Properties
- Formation enthalpy at 0 K: 0.272 eV/atom
- Crystal system: monoclinic
- Calculated density: 7.51 g cm⁻³
- Size of the total moment: 0.0 μB per formula unit
- Total DFT energy (no corrections): -0.1545 hartree per atom

abc: 3.0250 4.8469 4.8194
angles: 90.00 93.56 90.00
Last column: nearest neighbours and their distance in Å.
Space group P2/m (No. 10)
Symmetry-distinct sites (fractional):
Li1 0.2414 0.0000 0.2162 (multiplicity 2)  2 Li 2.47-2.68
Tc1 0.5000 0.5000 0.0000 (multiplicity 1)  4 Pb 2.76-2.92, 4 Li 2.77, 2 Tc 3.03
Pb1 0.0000 0.5000 0.5000 (multiplicity 1)  4 Tc 2.76-2.92, 4 Li 2.90, 2 Pb 3.03

---

Record 3
An optimized crystal structure of K3MgHg3, computed with PBE-GGA.

## Properties
- Formation enthalpy at 0 K: -0.204 eV/atom
- Crystal system: monoclinic
- Calculated density: 4.81 g cm⁻³
- Size of the total moment: 0.0 μB per formula unit
- Total DFT energy (no corrections): -0.0379 hartree per atom

abc: 12.9476 5.0497 16.9146
angles: 90.00 111.79 90.00
Last column: nearest neighbours and their distance in Å.
Space group C2/m (No. 12)
Symmetry-distinct sites (fractional):
K1 0.0123 0.0000 0.3767 (multiplicity 4)  6 Hg 3.57-3.69, 4 Mg 3.69-3.81
K2 0.1039 0.0000 0.9197 (multiplicity 4)  7 Hg 3.70-3.80
K3 0.2428 0.5000 0.7670 (multiplicity 4)  6 Hg 3.56-3.89
Mg1 0.2447 0.5000 0.4215 (multiplicity 4)  4 Hg 2.92-3.01
Hg1 0.0640 0.5000 0.2465 (multiplicity 4)  1 Mg 3.01, 1 Hg 3.06
Hg2 0.1055 0.5000 0.0798 (multiplicity 4)  2 Hg 3.04-3.06
Hg3 0.1286 0.5000 0.5401 (multiplicity 4)  3 Mg 2.92-2.95, 1 Hg 3.10

---

Record 4
An optimized crystal structure of NbTlSe2, computed with PBE-GGA.

## Properties
- Uncorrected formation energy: -15.89 kcal/mol of atoms
- Crystal system: monoclinic
- Calculated density: 7.64 g cm⁻³
- Size of the total moment: 0.0 μB per formula unit
- Total DFT energy (no corrections): -0.2036 hartree per atom

abc: 6.3616 3.5977 8.6611
angles: 90.00 92.96 90.00
Last column: nearest neighbours and their distance in Å.
Space group P2_1/m (No. 11)
Symmetry-distinct sites (fractional):
Nb1 0.1907 0.2500 0.0059 (multiplicity 2)  6 Se 2.62-2.78
Tl1 0.2725 0.2500 0.5718 (multiplicity 2)  3 Se 3.07-3.12
Se1 0.1078 0.7500 0.2148 (multiplicity 2)  3 Nb 2.62
Se2 0.4104 0.7500 0.8462 (multiplicity 2)  3 Nb 2.70-2.78

---

Record 5
An optimized crystal structure of Rb3Th3MgS8, computed with PBE-GGA.

## Properties
- Uncorrected formation energy: -38.42 kcal/mol of atoms
- Crystal system: trigonal
- Calculated density: 4.47 g cm⁻³
- Size of the total moment: 0.0 μB per formula unit
- Total DFT energy (no corrections): -0.2077 hartree per atom

abc: 8.2063 8.2063 23.5477
angles: 90.00 90.00 120.00
Last column: nearest neighbours and their distance in Å.
Space group R-3m (No. 166, hexagonal axes)
Symmetry-distinct sites (fractional):
Rb1 0.0000 0.5000 0.0000 (multiplicity 9)  6 S 3.32-3.41
Th1 0.0000 0.5000 0.5000 (multiplicity 9)  6 S 2.80-2.86
Mg1 0.0000 0.0000 0.5000 (multiplicity 3)  6 S 2.73
S1 0.0000 0.0000 0.2345 (multiplicity 6)  3 Th 2.86
S2 0.0082 0.5041 0.2281 (multiplicity 18)  1 Mg 2.73, 2 Th 2.80

---

Record 6
An optimized crystal structure of Ho4ScRh5, computed with PBE-GGA.

## Properties
- Formation enthalpy at 0 K: -0.912 eV/atom
- Crystal system: tetragonal
- Calculated density: 10.54 g cm⁻³
- Size of the total moment: 0.0 μB per formula unit
- Total DFT energy (no corrections): -0.2592 hartree per atom

abc: 3.3320 3.3320 17.2983
angles: 90.00 90.00 90.00
Last column: nearest neighbours and their distance in Å.
Space group P4/mmm (No. 123)
Symmetry-distinct sites (fractional):
Ho1 0.0000 0.0000 0.1019 (multiplicity 2)  8 Rh 2.94-2.95
Ho2 0.0000 0.0000 0.3056 (multiplicity 2)  8 Rh 2.94-2.96
Sc1 0.0000 0.0000 0.5000 (multiplicity 1)  8 Rh 2.83
Rh1 0.5000 0.5000 0.0000 (multiplicity 1)  8 Ho 2.94
Rh2 0.5000 0.5000 0.2041 (multiplicity 2)  8 Ho 2.94-2.95
Rh3 0.5000 0.5000 0.4089 (multiplicity 2)  4 Sc 2.83, 4 Ho 2.96, 1 Rh 3.15